1.
NdN2, optimized geometry, DFT PBE; SG = No. 227; electronic total energy = -6.054 eV/atom
1.0
-2.182 0.597 7.143
5.114 0.282 5.469
1.134 6.392 3.742
N Nd
4 2
Cartesian
4.082 2.868 8.867
2.092 5.922 8.004
1.525 2.727 6.133
0.434 3.025 9.704
1.017 1.818 4.088
2.033 3.636 8.177



2.
Nd2NpN3, optimized geometry, DFT PBE; SG = No. 164; electronic total energy = -9.206 eV/atom
1.0
-1.372 2.358 2.263
1.350 -3.044 1.214
7.875 3.812 0.802
N Np Nd
3 1 2
Cartesian
4.563 2.991 2.426
0.000 0.000 0.000
3.291 0.135 1.854
3.938 1.906 0.401
7.015 1.938 2.234
0.838 1.188 2.046



3.
NdOsNO, optimized geometry, DFT PBE; ΔE to the lowest computed polymorph = 606 meV per atom; SG = No. 26
1.0
-1.739 -3.013 0.000
0.000 0.000 5.903
-5.058 2.920 0.000
N Nd O Os
2 2 2 2
Cartesian
-2.494 1.440 4.588
-2.564 1.480 1.637
-2.159 -0.762 0.256
-4.639 0.670 3.208
-1.378 -1.213 2.329
-5.419 1.120 5.281
-3.569 2.061 0.229
-1.489 0.859 3.180



4.
NdOsNO, optimized geometry, DFT PBE; ΔE to the lowest computed polymorph = 201 meV per atom; SG = No. 129
1.0
3.853 0.000 0.000
0.000 3.853 0.000
0.000 0.000 7.940
O N Os Nd
2 2 2 2
Cartesian
2.890 0.963 0.000
0.963 2.890 0.000
2.890 2.890 3.041
0.963 0.963 4.898
2.890 0.963 3.970
0.963 2.890 3.970
0.963 0.963 1.249
2.890 2.890 6.690